DFT (PBE-GGA) results for a relaxed structure of Ac4PtAu.

Unit cell a=7.576 b=7.914 c=9.123 alpha=110.53 beta=114.34 gamma=90.24
Fractional positions:
Ac: 0.075 0.467 0.212
Ac: 0.138 0.969 0.213
Ac: 0.327 0.849 0.721
Ac: 0.393 0.349 0.722
Ac: 0.607 0.651 0.278
Ac: 0.673 0.151 0.279
Ac: 0.862 0.031 0.787
Ac: 0.925 0.533 0.788
Pt: 0.000 0.500 0.500
Pt: 0.500 0.000 0.500
Au: 0.304 0.249 0.001
Au: 0.696 0.751 0.999

**Energy of formation**: -0.554 eV per atom
**Calculated volume**: 460 Å³ per cell
**E above lowest polymorph**: 6.1 kJ/mol of atoms